Below is an optimized crystal structure of SrBe2Ru, with properties calculated at the PBE-GGA level.

Structure (POSCAR):
```
SrBe2Ru
1.0
3.1116 0.0000 0.0000
0.0000 3.1116 0.0000
0.0000 0.0000 6.5233
Sr Be Ru
1 2 1
Direct
0.0000 0.0000 0.0000
0.5000 0.5000 0.3450
0.5000 0.5000 0.6550
0.0000 0.0000 0.5000
```

Results
SG: No. 123
Relative energy among the computed polymorphs: 165 meV/atom
E_form: 0.1055 eV per atom